{"formula": "Tb6GaSe2S3", "functional": "GGA-PBE", "state": "optimized geometry", "e_form_raw_ev_per_fu": -20.59, "lattice_angstrom": [[-1.012, -6.517, 2.342], [4.938, 1.239, -4.802], [3.080, 2.782, 5.585]], "species": ["Tb", "Tb", "Tb", "Tb", "Tb", "Tb", "S", "S", "S", "Ga", "Se", "Se"], "frac_coords": [[0.914, 0.588, 0.741], [0.086, 0.412, 0.259], [0.762, 0.762, 0.259], [0.412, 0.086, 0.259], [0.588, 0.914, 0.741], [0.238, 0.238, 0.741], [0.169, 0.831, 0.500], [0.500, 0.500, 0.500], [0.831, 0.169, 0.500], [0.000, 0.000, 0.000], [0.666, 0.334, 0.000], [0.334, 0.666, 0.000]]}



{"formula": "PaZn2Ga2", "functional": "GGA-PBE", "state": "optimized geometry", "formation_enthalpy_0k_ev_per_atom": -0.2152, "lattice_angstrom": [[-3.076, -2.740, -0.033], [1.379, -1.590, 3.541], [-3.952, 1.289, 4.511]], "species": ["Zn", "Zn", "Pa", "Ga", "Ga"], "frac_coords": [[0.250, 0.750, 0.500], [0.750, 0.250, 0.500], [0.000, 0.000, 0.000], [0.613, 0.613, 0.774], [0.387, 0.387, 0.226]]}



Number 1: N(E_F) 4.96 states/eV/cell. Number 2: N(E_F) 5.44 states/eV/cell.